Run A
! AgTeSN2 (PBE, relaxed); values from VASP
&SYSTEM
  ibrav = 0, nat = 5, ntyp = 4
/
ATOMIC_SPECIES
Ag 107.87 Ag.upf
Te 127.60 Te.upf
S 32.06 S.upf
N 14.01 N.upf
CELL_PARAMETERS angstrom
3.694 0.000 0.000
0.000 3.694 0.000
0.000 0.000 6.909
ATOMIC_POSITIONS crystal
Ag 0.000 0.000 0.000
Te 0.500 0.500 0.000
S 0.500 0.500 0.500
N 0.000 0.500 0.500
N 0.500 0.000 0.500
! - total magnetic moment (Bohr magnetons per cell) = 0.696
! - symmetry = P4/mmm, No. 123


Run B
! AgTeSN2 (PBE, relaxed); values from VASP
&SYSTEM
  ibrav = 0, nat = 5, ntyp = 4
/
ATOMIC_SPECIES
Ag 107.87 Ag.upf
Te 127.60 Te.upf
S 32.06 S.upf
N 14.01 N.upf
CELL_PARAMETERS angstrom
4.033 0.000 0.000
0.000 4.033 0.000
0.000 0.000 6.389
ATOMIC_POSITIONS crystal
Ag 0.000 0.000 0.000
Te 0.500 0.500 0.500
S 0.000 0.000 0.500
N 0.000 0.500 0.000
N 0.500 0.000 0.000
! - total magnetic moment (Bohr magnetons per cell) = 3.768
! - symmetry = P4/mmm, No. 123


run A is the most stable structure; the next one sits 0.203 eV/atom above it.


Run A
! AgTeSN2 (PBE, relaxed); values from VASP
&SYSTEM
  ibrav = 0, nat = 5, ntyp = 4
/
ATOMIC_SPECIES
Ag 107.87 Ag.upf
Te 127.60 Te.upf
S 32.06 S.upf
N 14.01 N.upf
CELL_PARAMETERS angstrom
3.907 0.000 0.000
0.000 3.907 0.000
0.000 0.000 5.645
ATOMIC_POSITIONS crystal
Ag 0.000 0.000 0.000
Te 0.500 0.500 0.500
S 0.500 0.500 0.000
N 0.000 0.500 0.500
N 0.500 0.000 0.500
! - total magnetic moment (Bohr magnetons per cell) = 0.000
! - symmetry = P4/mmm, No. 123


Run B
! AgTeSN2 (PBE, relaxed); values from VASP
&SYSTEM
  ibrav = 0, nat = 5, ntyp = 4
/
ATOMIC_SPECIES
Ag 107.87 Ag.upf
Te 127.60 Te.upf
S 32.06 S.upf
N 14.01 N.upf
CELL_PARAMETERS angstrom
4.013 0.000 0.000
0.000 4.013 0.000
0.000 0.000 6.859
ATOMIC_POSITIONS crystal
Ag 0.000 0.000 0.000
Te 0.000 0.000 0.500
S 0.500 0.500 0.500
N 0.000 0.500 0.000
N 0.500 0.000 0.000
! - total magnetic moment (Bohr magnetons per cell) = 3.744
! - symmetry = P4/mmm, No. 123


run A is the most stable structure; the next one sits 0.422 eV/atom above it.


Run A
! AgTeS2N (PBE, relaxed); values from VASP
&SYSTEM
  ibrav = 0, nat = 5, ntyp = 4
/
ATOMIC_SPECIES
Ag 107.87 Ag.upf
Te 127.60 Te.upf
S 32.06 S.upf
N 14.01 N.upf
CELL_PARAMETERS angstrom
5.000 0.000 0.000
0.000 5.000 0.000
0.000 0.000 4.010
ATOMIC_POSITIONS crystal
Ag 0.000 0.000 0.000
Te 0.500 0.500 0.500
S 0.000 0.500 0.000
S 0.500 0.000 0.000
N 0.000 0.000 0.500
! - total magnetic moment (Bohr magnetons per cell) = 1.747
! - symmetry = P4/mmm, No. 123


Run B
! AgTeS2N (PBE, relaxed); values from VASP
&SYSTEM
  ibrav = 0, nat = 5, ntyp = 4
/
ATOMIC_SPECIES
Ag 107.87 Ag.upf
Te 127.60 Te.upf
S 32.06 S.upf
N 14.01 N.upf
CELL_PARAMETERS angstrom
5.119 0.000 0.000
0.000 5.119 0.000
0.000 0.000 3.953
ATOMIC_POSITIONS crystal
Ag 0.000 0.000 0.000
Te 0.500 0.500 0.500
S 0.000 0.500 0.500
S 0.500 0.000 0.500
N 0.500 0.500 0.000
! - total magnetic moment (Bohr magnetons per cell) = 0.554
! - symmetry = P4/mmm, No. 123


run B is the most stable structure; the next one sits 0.196 eV/atom above it.


Run A
! TiAgS2N (PBE, relaxed); values from VASP
&SYSTEM
  ibrav = 0, nat = 5, ntyp = 4
/
ATOMIC_SPECIES
Ti 47.87 Ti.upf
Ag 107.87 Ag.upf
S 32.06 S.upf
N 14.01 N.upf
CELL_PARAMETERS angstrom
4.805 0.000 0.000
0.000 4.805 0.000
0.000 0.000 3.900
ATOMIC_POSITIONS crystal
Ti 0.000 0.000 0.000
Ag 0.500 0.500 0.500
S 0.000 0.500 0.500
S 0.500 0.000 0.500
N 0.500 0.500 0.000
! - total magnetic moment (Bohr magnetons per cell) = 0.000
! - symmetry = P4/mmm, No. 123


Run B
! TiAgS2N (PBE, relaxed); values from VASP
&SYSTEM
  ibrav = 0, nat = 5, ntyp = 4
/
ATOMIC_SPECIES
Ti 47.87 Ti.upf
Ag 107.87 Ag.upf
S 32.06 S.upf
N 14.01 N.upf
CELL_PARAMETERS angstrom
4.817 0.000 0.000
0.000 4.817 0.000
0.000 0.000 3.880
ATOMIC_POSITIONS crystal
Ti 0.000 0.000 0.000
Ag 0.500 0.500 0.500
S 0.000 0.500 0.000
S 0.500 0.000 0.000
N 0.000 0.000 0.500
! - total magnetic moment (Bohr magnetons per cell) = 1.616
! - symmetry = P4/mmm, No. 123


run B is the most stable structure; the next one sits 1.089 eV/atom above it.


Run A
! TlAgSN2 (PBE, relaxed); values from VASP
&SYSTEM
  ibrav = 0, nat = 5, ntyp = 4
/
ATOMIC_SPECIES
Tl 204.38 Tl.upf
Ag 107.87 Ag.upf
S 32.06 S.upf
N 14.01 N.upf
CELL_PARAMETERS angstrom
4.319 0.000 0.000
0.000 4.319 0.000
0.000 0.000 5.601
ATOMIC_POSITIONS crystal
Tl 0.000 0.000 0.000
Ag 0.500 0.500 0.500
S 0.000 0.000 0.500
N 0.000 0.500 0.000
N 0.500 0.000 0.000
! - total magnetic moment (Bohr magnetons per cell) = 3.672
! - symmetry = P4/mmm, No. 123


Run B
! TlAgSN2 (PBE, relaxed); values from VASP
&SYSTEM
  ibrav = 0, nat = 5, ntyp = 4
/
ATOMIC_SPECIES
Tl 204.38 Tl.upf
Ag 107.87 Ag.upf
S 32.06 S.upf
N 14.01 N.upf
CELL_PARAMETERS angstrom
4.219 0.000 0.000
0.000 4.219 0.000
0.000 0.000 5.319
ATOMIC_POSITIONS crystal
Tl 0.000 0.000 0.000
Ag 0.500 0.500 0.500
S 0.500 0.500 0.000
N 0.000 0.500 0.500
N 0.500 0.000 0.500
! - total magnetic moment (Bohr magnetons per cell) = 3.417
! - symmetry = P4/mmm, No. 123


run B is the most stable structure; the next one sits 0.246 eV/atom above it.


Run A
! AgWS2N (PBE, relaxed); values from VASP
&SYSTEM
  ibrav = 0, nat = 5, ntyp = 4
/
ATOMIC_SPECIES
Ag 107.87 Ag.upf
W 183.84 W.upf
S 32.06 S.upf
N 14.01 N.upf
CELL_PARAMETERS angstrom
4.837 0.000 0.000
0.000 4.837 0.000
0.000 0.000 3.826
ATOMIC_POSITIONS crystal
Ag 0.000 0.000 0.000
W 0.500 0.500 0.500
S 0.000 0.500 0.500
S 0.500 0.000 0.500
N 0.500 0.500 0.000
! - total magnetic moment (Bohr magnetons per cell) = 0.000
! - symmetry = P4/mmm, No. 123


Run B
! AgWS2N (PBE, relaxed); values from VASP
&SYSTEM
  ibrav = 0, nat = 5, ntyp = 4
/
ATOMIC_SPECIES
Ag 107.87 Ag.upf
W 183.84 W.upf
S 32.06 S.upf
N 14.01 N.upf
CELL_PARAMETERS angstrom
4.815 0.000 0.000
0.000 4.815 0.000
0.000 0.000 3.812
ATOMIC_POSITIONS crystal
Ag 0.000 0.000 0.000
W 0.500 0.500 0.500
S 0.000 0.500 0.000
S 0.500 0.000 0.000
N 0.000 0.000 0.500
! - total magnetic moment (Bohr magnetons per cell) = 2.152
! - symmetry = P4/mmm, No. 123


run A is the most stable structure; the next one sits 1.813 eV/atom above it.


Run A
! YAgS2N (PBE, relaxed); values from VASP
&SYSTEM
  ibrav = 0, nat = 5, ntyp = 4
/
ATOMIC_SPECIES
Y 88.91 Y.upf
Ag 107.87 Ag.upf
S 32.06 S.upf
N 14.01 N.upf
CELL_PARAMETERS angstrom
5.285 0.000 0.000
0.000 5.285 0.000
0.000 0.000 4.383
ATOMIC_POSITIONS crystal
Y 0.000 0.000 0.000
Ag 0.500 0.500 0.500
S 0.000 0.500 0.000
S 0.500 0.000 0.000
N 0.000 0.000 0.500
! - total magnetic moment (Bohr magnetons per cell) = 0.046
! - symmetry = P4/mmm, No. 123


Run B
! YAgS2N (PBE, relaxed); values from VASP
&SYSTEM
  ibrav = 0, nat = 5, ntyp = 4
/
ATOMIC_SPECIES
Y 88.91 Y.upf
Ag 107.87 Ag.upf
S 32.06 S.upf
N 14.01 N.upf
CELL_PARAMETERS angstrom
4.901 0.000 0.000
0.000 4.901 0.000
0.000 0.000 4.017
ATOMIC_POSITIONS crystal
Y 0.000 0.000 0.000
Ag 0.500 0.500 0.500
S 0.000 0.500 0.500
S 0.500 0.000 0.500
N 0.500 0.500 0.000
! - total magnetic moment (Bohr magnetons per cell) = 1.460
! - symmetry = P4/mmm, No. 123


run B is the most stable structure; the next one sits 0.191 eV/atom above it.


Run A
! YAgSN2 (PBE, relaxed); values from VASP
&SYSTEM
  ibrav = 0, nat = 5, ntyp = 4
/
ATOMIC_SPECIES
Y 88.91 Y.upf
Ag 107.87 Ag.upf
S 32.06 S.upf
N 14.01 N.upf
CELL_PARAMETERS angstrom
4.129 0.000 0.000
0.000 4.129 0.000
0.000 0.000 4.775
ATOMIC_POSITIONS crystal
Y 0.000 0.000 0.000
Ag 0.500 0.500 0.500
S 0.500 0.500 0.000
N 0.000 0.500 0.500
N 0.500 0.000 0.500
! - total magnetic moment (Bohr magnetons per cell) = 1.437
! - symmetry = P4/mmm, No. 123


Run B
! YAgSN2 (PBE, relaxed); values from VASP
&SYSTEM
  ibrav = 0, nat = 5, ntyp = 4
/
ATOMIC_SPECIES
Y 88.91 Y.upf
Ag 107.87 Ag.upf
S 32.06 S.upf
N 14.01 N.upf
CELL_PARAMETERS angstrom
4.432 0.000 0.000
0.000 4.432 0.000
0.000 0.000 5.430
ATOMIC_POSITIONS crystal
Y 0.000 0.000 0.000
Ag 0.500 0.500 0.500
S 0.000 0.000 0.500
N 0.000 0.500 0.000
N 0.500 0.000 0.000
! - total magnetic moment (Bohr magnetons per cell) = 1.080
! - symmetry = P4/mmm, No. 123


run A is the most stable structure; the next one sits 0.215 eV/atom above it.


Run A
! ZrAgSN2 (PBE, relaxed); values from VASP
&SYSTEM
  ibrav = 0, nat = 5, ntyp = 4
/
ATOMIC_SPECIES
Zr 91.22 Zr.upf
Ag 107.87 Ag.upf
S 32.06 S.upf
N 14.01 N.upf
CELL_PARAMETERS angstrom
4.123 0.000 0.000
0.000 4.123 0.000
0.000 0.000 5.439
ATOMIC_POSITIONS crystal
Zr 0.000 0.000 0.000
Ag 0.500 0.500 0.500
S 0.000 0.000 0.500
N 0.000 0.500 0.000
N 0.500 0.000 0.000
! - total magnetic moment (Bohr magnetons per cell) = 0.000
! - symmetry = P4/mmm, No. 123


Run B
! ZrAgSN2 (PBE, relaxed); values from VASP
&SYSTEM
  ibrav = 0, nat = 5, ntyp = 4
/
ATOMIC_SPECIES
Zr 91.22 Zr.upf
Ag 107.87 Ag.upf
S 32.06 S.upf
N 14.01 N.upf
CELL_PARAMETERS angstrom
4.047 0.000 0.000
0.000 4.047 0.000
0.000 0.000 4.625
ATOMIC_POSITIONS crystal
Zr 0.000 0.000 0.000
Ag 0.500 0.500 0.500
S 0.500 0.500 0.000
N 0.000 0.500 0.500
N 0.500 0.000 0.500
! - total magnetic moment (Bohr magnetons per cell) = 0.008
! - symmetry = P4/mmm, No. 123


run A is the most stable structure; the next one sits 0.699 eV/atom above it.


Run A
! Ag3SbN (PBE, relaxed); values from VASP
&SYSTEM
  ibrav = 0, nat = 5, ntyp = 3
/
ATOMIC_SPECIES
Ag 107.87 Ag.upf
Sb 121.76 Sb.upf
N 14.01 N.upf
CELL_PARAMETERS angstrom
5.329 0.000 0.000
0.000 5.329 0.000
0.000 0.000 5.329
ATOMIC_POSITIONS crystal
Ag 0.000 0.000 0.500
Ag 0.000 0.500 0.000
Ag 0.500 0.000 0.000
Sb 0.000 0.000 0.000
N 0.500 0.500 0.500
! - total magnetic moment (Bohr magnetons per cell) = 3.000
! - symmetry = Pm-3m, No. 221


Run B
! Ag3SbN (PBE, relaxed); values from VASP
&SYSTEM
  ibrav = 0, nat = 5, ntyp = 3
/
ATOMIC_SPECIES
Ag 107.87 Ag.upf
Sb 121.76 Sb.upf
N 14.01 N.upf
CELL_PARAMETERS angstrom
4.506 0.000 0.000
0.000 4.506 0.000
0.000 0.000 4.506
ATOMIC_POSITIONS crystal
Ag 0.000 0.000 0.500
Ag 0.000 0.500 0.000
Ag 0.500 0.000 0.000
Sb 0.500 0.500 0.500
N 0.000 0.000 0.000
! - total magnetic moment (Bohr magnetons per cell) = 0.000
! - symmetry = Pm-3m, No. 221


run B is the most stable structure; the next one sits 0.595 eV/atom above it.


Run A
! AgSbSeN2 (PBE, relaxed); values from VASP
&SYSTEM
  ibrav = 0, nat = 5, ntyp = 4
/
ATOMIC_SPECIES
Ag 107.87 Ag.upf
Sb 121.76 Sb.upf
Se 78.96 Se.upf
N 14.01 N.upf
CELL_PARAMETERS angstrom
4.205 0.000 0.000
0.000 4.205 0.000
0.000 0.000 5.399
ATOMIC_POSITIONS crystal
Ag 0.000 0.000 0.000
Sb 0.500 0.500 0.500
Se 0.000 0.000 0.500
N 0.000 0.500 0.000
N 0.500 0.000 0.000
! - total magnetic moment (Bohr magnetons per cell) = 2.585
! - symmetry = P4/mmm, No. 123


Run B
! AgSbSeN2 (PBE, relaxed); values from VASP
&SYSTEM
  ibrav = 0, nat = 5, ntyp = 4
/
ATOMIC_SPECIES
Ag 107.87 Ag.upf
Sb 121.76 Sb.upf
Se 78.96 Se.upf
N 14.01 N.upf
CELL_PARAMETERS angstrom
3.977 0.000 0.000
0.000 3.977 0.000
0.000 0.000 5.959
ATOMIC_POSITIONS crystal
Ag 0.000 0.000 0.000
Sb 0.500 0.500 0.500
Se 0.500 0.500 0.000
N 0.000 0.500 0.500
N 0.500 0.000 0.500
! - total magnetic moment (Bohr magnetons per cell) = 0.875
! - symmetry = P4/mmm, No. 123


run B is the most stable structure; the next one sits 0.475 eV/atom above it.


Run A
! ScAgSeN2 (PBE, relaxed); values from VASP
&SYSTEM
  ibrav = 0, nat = 5, ntyp = 4
/
ATOMIC_SPECIES
Sc 44.96 Sc.upf
Ag 107.87 Ag.upf
Se 78.96 Se.upf
N 14.01 N.upf
CELL_PARAMETERS angstrom
4.208 0.000 0.000
0.000 4.208 0.000
0.000 0.000 5.478
ATOMIC_POSITIONS crystal
Sc 0.000 0.000 0.000
Ag 0.500 0.500 0.500
Se 0.000 0.000 0.500
N 0.000 0.500 0.000
N 0.500 0.000 0.000
! - total magnetic moment (Bohr magnetons per cell) = 3.528
! - symmetry = P4/mmm, No. 123


Run B
! ScAgSeN2 (PBE, relaxed); values from VASP
&SYSTEM
  ibrav = 0, nat = 5, ntyp = 4
/
ATOMIC_SPECIES
Sc 44.96 Sc.upf
Ag 107.87 Ag.upf
Se 78.96 Se.upf
N 14.01 N.upf
CELL_PARAMETERS angstrom
4.084 0.000 0.000
0.000 4.084 0.000
0.000 0.000 5.108
ATOMIC_POSITIONS crystal
Sc 0.000 0.000 0.000
Ag 0.500 0.500 0.500
Se 0.500 0.500 0.000
N 0.000 0.500 0.500
N 0.500 0.000 0.500
! - total magnetic moment (Bohr magnetons per cell) = 1.733
! - symmetry = P4/mmm, No. 123


run A is the most stable structure; the next one sits 0.458 eV/atom above it.


Run A
! AgSe3N (PBE, relaxed); values from VASP
&SYSTEM
  ibrav = 0, nat = 5, ntyp = 3
/
ATOMIC_SPECIES
Ag 107.87 Ag.upf
Se 78.96 Se.upf
N 14.01 N.upf
CELL_PARAMETERS angstrom
5.129 0.000 0.000
0.000 5.129 0.000
0.000 0.000 5.129
ATOMIC_POSITIONS crystal
Ag 0.000 0.000 0.000
Se 0.000 0.000 0.500
Se 0.000 0.500 0.000
Se 0.500 0.000 0.000
N 0.500 0.500 0.500
! - total magnetic moment (Bohr magnetons per cell) = 1.958
! - symmetry = Pm-3m, No. 221


Run B
! AgSe3N (PBE, relaxed); values from VASP
&SYSTEM
  ibrav = 0, nat = 5, ntyp = 3
/
ATOMIC_SPECIES
Ag 107.87 Ag.upf
Se 78.96 Se.upf
N 14.01 N.upf
CELL_PARAMETERS angstrom
4.470 0.000 0.000
0.000 4.470 0.000
0.000 0.000 4.470
ATOMIC_POSITIONS crystal
Ag 0.000 0.000 0.000
Se 0.000 0.500 0.500
Se 0.500 0.000 0.500
Se 0.500 0.500 0.000
N 0.500 0.500 0.500
! - total magnetic moment (Bohr magnetons per cell) = 0.000
! - symmetry = Pm-3m, No. 221


run B is the most stable structure; the next one sits 0.758 eV/atom above it.


Run A
! SiAgSeN2 (PBE, relaxed); values from VASP
&SYSTEM
  ibrav = 0, nat = 5, ntyp = 4
/
ATOMIC_SPECIES
Si 28.09 Si.upf
Ag 107.87 Ag.upf
Se 78.96 Se.upf
N 14.01 N.upf
CELL_PARAMETERS angstrom
4.070 0.000 0.000
0.000 4.070 0.000
0.000 0.000 5.594
ATOMIC_POSITIONS crystal
Si 0.000 0.000 0.000
Ag 0.500 0.500 0.500
Se 0.500 0.500 0.000
N 0.000 0.500 0.500
N 0.500 0.000 0.500
! - total magnetic moment (Bohr magnetons per cell) = 3.217
! - symmetry = P4/mmm, No. 123


Run B
! SiAgSeN2 (PBE, relaxed); values from VASP
&SYSTEM
  ibrav = 0, nat = 5, ntyp = 4
/
ATOMIC_SPECIES
Si 28.09 Si.upf
Ag 107.87 Ag.upf
Se 78.96 Se.upf
N 14.01 N.upf
CELL_PARAMETERS angstrom
3.525 0.000 0.000
0.000 3.525 0.000
0.000 0.000 6.394
ATOMIC_POSITIONS crystal
Si 0.000 0.000 0.000
Ag 0.500 0.500 0.500
Se 0.000 0.000 0.500
N 0.000 0.500 0.000
N 0.500 0.000 0.000
! - total magnetic moment (Bohr magnetons per cell) = 0.000
! - symmetry = P4/mmm, No. 123


run B is the most stable structure; the next one sits 1.295 eV/atom above it.